# BaTl2Pb

A relaxed structure of BaTl2Pb (PBE, Alexandria via LeMat-Bulk).

Cell lengths 5.1491, 5.1491, 12.1338 Å; angles 77.75, 77.75, 90.00 degrees
Positions (direct):
Tl 0.3750 0.3158 0.7500
Tl 0.0658 0.6250 0.2500
Ba 0.5000 0.5000 0.0000
Tl 0.8750 0.9342 0.7500
Ba 0.2500 0.7500 0.5000
Pb 0.0000 0.0000 0.0000
Tl 0.6842 0.1250 0.2500
Pb 0.7500 0.2500 0.5000

Output
The calculation puts the formation enthalpy at 0 K at -15 kJ per mole of atoms. The value obtained for the offset from the most stable computed form is 167 meV per atom. Its calculated density is 8.152 g cm⁻³. For the density of states at the Fermi level, the calculation gives 0.917 states/eV per atom.



# BaTl2Pb

A relaxed structure of BaTl2Pb (PBE, Alexandria via LeMat-Bulk).

Cell lengths 5.6065, 5.6065, 6.0861 Å; angles 70.63, 70.63, 53.51 degrees
Positions (direct):
Pb 0.7403 0.7403 0.8093
Tl 0.9973 0.9973 0.0145
Ba 0.5006 0.5006 0.4962
Tl 0.2618 0.2618 0.1801

Output
The calculation puts the formation enthalpy at 0 K at -27 kJ per mole of atoms. The value obtained for the offset from the most stable computed form is 40 meV per atom. Its calculated density is 8.759 g cm⁻³. For the density of states at the Fermi level, the calculation gives 0.373 states/eV per atom.



# Ba2Tl4Pb3

A relaxed structure of Ba2Tl4Pb3 (PBE, Alexandria via LeMat-Bulk).

Cell lengths 5.3683, 5.9308, 11.0182 Å; angles 80.24, 90.00, 63.09 degrees
Positions (direct):
Pb 0.6565 0.6870 0.5612
Tl 0.6677 0.6646 0.8955
Pb 0.3435 0.3130 0.4388
Ba 0.3318 0.3364 0.7752
Tl 0.3323 0.3354 0.1045
Ba 0.6682 0.6636 0.2248
Tl 0.0131 0.9739 0.3527
Pb 0.0000 0.0000 0.0000
Tl 0.9869 0.0261 0.6473

Output
The calculation puts the formation enthalpy at 0 K at -27 kJ per mole of atoms. The value obtained for the offset from the most stable computed form is 0 meV per atom. Its calculated density is 9.266 g cm⁻³. For the density of states at the Fermi level, the calculation gives 0.451 states/eV per atom.



# BaTlPb2

A relaxed structure of BaTlPb2 (PBE, Alexandria via LeMat-Bulk).

Cell lengths 5.7382, 3.6992, 6.5969 Å; angles 88.02, 90.00, 90.00 degrees
Positions (direct):
Ba 0.5000 0.7500 0.7500
Tl 0.5000 0.2500 0.2500
Pb 0.0000 0.3313 0.4990
Pb 0.0000 0.1687 0.0010

Output
The calculation puts the formation enthalpy at 0 K at -21 kJ per mole of atoms. The value obtained for the offset from the most stable computed form is 124 meV per atom. Its calculated density is 8.972 g cm⁻³. For the density of states at the Fermi level, the calculation gives 0.611 states/eV per atom.



# BaTl2Pb

A relaxed structure of BaTl2Pb (PBE, Alexandria via LeMat-Bulk).

Cell lengths 4.2165, 4.2189, 7.8198 Å; angles 90.00, 90.00, 90.00 degrees
Positions (direct):
Pb 0.5000 0.5000 0.7950
Tl 0.0000 0.0000 0.9989
Tl 0.5000 0.5000 0.2080
Ba 0.0000 0.0000 0.4982

Output
The calculation puts the formation enthalpy at 0 K at -22 kJ per mole of atoms. The value obtained for the offset from the most stable computed form is 85 meV per atom. Its calculated density is 8.992 g cm⁻³. For the density of states at the Fermi level, the calculation gives 0.733 states/eV per atom.



# Ba3Tl2Pb4

A relaxed structure of Ba3Tl2Pb4 (PBE, Alexandria via LeMat-Bulk).

Cell lengths 5.2758, 6.9983, 10.3278 Å; angles 104.29, 90.00, 112.14 degrees
Positions (direct):
Tl 0.6968 0.3936 0.3626
Pb 0.7010 0.4019 0.0499
Ba 0.0000 0.0000 0.0000
Tl 0.3032 0.6064 0.6374
Pb 0.0645 0.1289 0.3845
Pb 0.9355 0.8711 0.6155
Pb 0.2990 0.5981 0.9501
Ba 0.6333 0.2665 0.6887
Ba 0.3667 0.7335 0.3113

Output
The calculation puts the formation enthalpy at 0 K at -41 kJ per mole of atoms. Its calculated density is 8.046 g cm⁻³. For the density of states at the Fermi level, the calculation gives 0.440 states/eV per atom.



# BaTlPb2

A relaxed structure of BaTlPb2 (PBE, Alexandria via LeMat-Bulk).

Cell lengths 6.7192, 6.7192, 6.7192 Å; angles 137.25, 135.08, 63.74 degrees
Positions (direct):
Pb 0.8020 0.3020 0.5000
Ba 0.2189 0.7189 0.5000
Pb 0.9830 0.9830 0.0000
Tl 0.4961 0.4961 0.0000

Output
The calculation puts the formation enthalpy at 0 K at -31 kJ per mole of atoms. The value obtained for the offset from the most stable computed form is 17 meV per atom. Its calculated density is 8.750 g cm⁻³. For the density of states at the Fermi level, the calculation gives 0.545 states/eV per atom.



# Ba3Tl2Pb9

A relaxed structure of Ba3Tl2Pb9 (PBE, Alexandria via LeMat-Bulk).

Cell lengths 5.5145, 9.9807, 9.9807 Å; angles 74.40, 73.96, 73.96 degrees
Positions (direct):
Pb 0.8497 0.4286 0.8720
Pb 0.8497 0.8720 0.4286
Pb 0.6440 0.9910 0.7210
Pb 0.6440 0.7210 0.9910
Ba 0.2983 0.7017 0.7017
Pb 0.3560 0.0090 0.2790
Pb 0.1503 0.5714 0.1280
Ba 0.0000 0.0000 0.0000
Pb 0.1503 0.1280 0.5714
Pb 0.3560 0.2790 0.0090
Tl 0.5000 0.3337 0.6663
Pb 0.0000 0.5000 0.5000
Ba 0.7017 0.2983 0.2983
Tl 0.5000 0.6663 0.3337

Output
The calculation puts the formation enthalpy at 0 K at -29 kJ per mole of atoms. Its calculated density is 8.986 g cm⁻³. For the density of states at the Fermi level, the calculation gives 0.390 states/eV per atom.



Which formula does entry 6 have?
Ba3Tl2Pb4



Copy entry 5 word for word.
# BaTl2Pb

A relaxed structure of BaTl2Pb (PBE, Alexandria via LeMat-Bulk).

Cell lengths 4.2165, 4.2189, 7.8198 Å; angles 90.00, 90.00, 90.00 degrees
Positions (direct):
Pb 0.5000 0.5000 0.7950
Tl 0.0000 0.0000 0.9989
Tl 0.5000 0.5000 0.2080
Ba 0.0000 0.0000 0.4982

Output
The calculation puts the formation enthalpy at 0 K at -22 kJ per mole of atoms. The value obtained for the offset from the most stable computed form is 85 meV per atom. Its calculated density is 8.992 g cm⁻³. For the density of states at the Fermi level, the calculation gives 0.733 states/eV per atom.



The lowest calculated density belongs to which entry?
Ba3Tl2Pb4



Which formula does entry 5 have?
BaTl2Pb